# 1
Entry from Alexandria via LeMat-Bulk: crystalline La2GaHg2 at its relaxed geometry (PBE-GGA).

polymorph energy (0 for the lowest one) = 146 meV/atom
density of states at the Fermi level = 0.9080 states/eV per atom
volume = 151.8 Å³/f.u.
SG = C2/m (12)
total DFT energy (no corrections) = -0.2248 Ry/atom
formation enthalpy at 0 K = -0.361 eV/atom

Lattice parameters (Å, degrees): 8.2158 8.2158 6.3788 43.21 43.21 32.85
With the nearest neighbours (Å) after each atom.
Positions (direct):
La: 0.6995 0.6995 0.8110  5 Hg 3.15-3.41, 3 Ga 3.31-3.46
La: 0.3005 0.3005 0.1890  5 Hg 3.15-3.41, 3 Ga 3.31-3.46
Ga: 0.0000 0.0000 0.0000  4 Hg 3.25, 6 La 3.31-3.46
Hg: 0.4037 0.4037 0.5027  1 Hg 3.01, 4 La 3.15-3.32, 2 Ga 3.25
Hg: 0.5963 0.5963 0.4973  1 Hg 3.01, 4 La 3.15-3.32, 2 Ga 3.25


# 2
Entry from Alexandria via LeMat-Bulk: crystalline Ru2NCl at its relaxed geometry (PBE-GGA).

polymorph energy (0 for the lowest one) = 883 meV/atom
density of states at the Fermi level = 0.9410 states/eV per atom
volume = 47.8 Å³/f.u.
SG = Fm-3m (225)
total DFT energy (no corrections) = -0.4332 Ry/atom
energy relative to the elements, uncorrected = 1.286 eV per atom

Lattice parameters (Å, degrees): 4.0746 4.0746 4.0746 60.00 60.00 60.00
With the nearest neighbours (Å) after each atom.
Positions (direct):
Ru: 0.2500 0.2500 0.2500  4 Cl 2.50, 4 N 2.50
Ru: 0.7500 0.7500 0.7500  4 Cl 2.50, 4 N 2.50
N: 0.0000 0.0000 0.0000  8 Ru 2.50
Cl: 0.5000 0.5000 0.5000  8 Ru 2.50


# 3
Entry from Alexandria via LeMat-Bulk: crystalline CePm at its relaxed geometry (PBE-GGA).

polymorph energy (0 for the lowest one) = 0 meV/atom
density of states at the Fermi level = 2.7271 states/eV per atom
volume = 62.0 Å³/f.u.
SG = Pmmn (59)
total DFT energy (no corrections) = -0.3857 Ry/atom
formation enthalpy at 0 K = 0.094 eV/atom

Lattice parameters (Å, degrees): 3.5154 4.9217 7.1630 90.00 89.96 90.00
With the nearest neighbours (Å) after each atom.
Positions (direct):
Ce: 0.2506 0.7500 0.1093  6 Ce 3.40-3.52, 6 Pm 3.41-3.75
Ce: 0.7494 0.2500 0.8907  6 Ce 3.40-3.52, 6 Pm 3.41-3.75
Pm: 0.2492 0.7500 0.6331  6 Ce 3.41-3.75, 6 Pm 3.52-3.58
Pm: 0.7508 0.2500 0.3669  6 Ce 3.41-3.75, 6 Pm 3.52-3.58


# 4
Entry from Alexandria via LeMat-Bulk: crystalline PaTlGaI6 at its relaxed geometry (PBE-GGA).

density of states at the Fermi level = 0.0560 states/eV per atom
volume = 435.1 Å³/f.u.
SG = P-31c (163)
total DFT energy (no corrections) = -0.2543 Ry/atom
energy relative to the elements, uncorrected = -0.772 eV per atom

Lattice parameters (Å, degrees): 8.2230 8.2230 14.8591 90.00 90.00 120.00
With the nearest neighbours (Å) after each atom.
Positions (direct):
Pa: 0.6667 0.3333 0.2500  6 I 3.05
Pa: 0.3333 0.6667 0.7500  6 I 3.05
Tl: 0.0000 0.0000 0.0000  6 I 3.56
Tl: 0.0000 0.0000 0.5000  6 I 3.56
Ga: 0.3333 0.6667 0.2500  6 I 3.28
Ga: 0.6667 0.3333 0.7500  6 I 3.28
I: 0.6505 0.6288 0.1328  1 Pa 3.05, 1 Ga 3.28
I: 0.9783 0.3495 0.1328  1 Pa 3.05, 1 Ga 3.28
I: 0.3495 0.9783 0.6328  1 Pa 3.05, 1 Ga 3.28
I: 0.0217 0.6505 0.8672  1 Pa 3.05, 1 Ga 3.28
I: 0.3712 0.3495 0.3672  1 Pa 3.05, 1 Ga 3.28
I: 0.9783 0.6288 0.3672  1 Pa 3.05, 1 Ga 3.28
I: 0.6288 0.9783 0.8672  1 Pa 3.05, 1 Ga 3.28
I: 0.6505 0.0217 0.3672  1 Pa 3.05, 1 Ga 3.28
I: 0.0217 0.3712 0.6328  1 Pa 3.05, 1 Ga 3.28
I: 0.3712 0.0217 0.1328  1 Pa 3.05, 1 Ga 3.28
I: 0.6288 0.6505 0.6328  1 Pa 3.05, 1 Ga 3.28
I: 0.3495 0.3712 0.8672  1 Pa 3.05, 1 Ga 3.28


# 5
Entry from Alexandria via LeMat-Bulk: crystalline Hf6NiOs at its relaxed geometry (PBE-GGA).

density of states at the Fermi level = 1.1031 states/eV per atom
volume = 157.4 Å³/f.u.
SG = C2/m (12)
total DFT energy (no corrections) = -0.7112 Ry/atom
formation enthalpy at 0 K = -0.085 eV/atom

Lattice parameters (Å, degrees): 7.2532 5.8320 5.4576 79.96 67.94 47.76
With the nearest neighbours (Å) after each atom.
Positions (direct):
Hf: 0.2428 0.2524 0.7571  1 Os 2.84, 1 Ni 2.91, 7 Hf 3.05-3.15
Hf: 0.8384 0.9305 0.6588  1 Ni 2.73, 1 Os 2.75, 3 Hf 2.86-3.05
Hf: 0.3416 0.4273 0.1618  1 Ni 2.73, 1 Os 2.75, 2 Hf 2.86-3.00
Hf: 0.1616 0.0695 0.3412  1 Ni 2.73, 1 Os 2.75, 3 Hf 2.86-3.05
Hf: 0.7572 0.7476 0.2429  1 Os 2.84, 1 Ni 2.91, 7 Hf 3.05-3.15
Hf: 0.6584 0.5727 0.8382  1 Ni 2.73, 1 Os 2.75, 2 Hf 2.86-3.00
Ni: 0.5000 0.5000 0.5000  6 Hf 2.73-2.91
Os: 0.0000 0.0000 0.0000  6 Hf 2.75-2.84


# 6
Entry from Alexandria via LeMat-Bulk: crystalline AlReSnO2 at its relaxed geometry (PBE-GGA).

density of states at the Fermi level = 0.6304 states/eV per atom
volume = 87.1 Å³/f.u.
SG = P4/mmm (123)
total DFT energy (no corrections) = -0.4836 Ry/atom
energy relative to the elements, uncorrected = -0.558 eV per atom

Lattice parameters (Å, degrees): 3.8542 5.8607 3.8542 90.00 90.00 90.00
With the nearest neighbours (Å) after each atom.
Positions (direct):
Re: 0.0000 0.0000 0.0000  4 O 1.93
Sn: 0.0000 0.5000 0.0000  4 Al 2.73, 2 Re 2.93
O: 0.0000 0.0000 0.5000  2 Re 1.93
O: 0.5000 0.0000 0.0000  2 Re 1.93
Al: 0.5000 0.5000 0.5000  4 Sn 2.73


# 7
Entry from Alexandria via LeMat-Bulk: crystalline Nd4Ho3Sc2 at its relaxed geometry (PBE-GGA).

density of states at the Fermi level = 1.7523 states/eV per atom
volume = 286.2 Å³/f.u.
SG = P3m1 (156)
total DFT energy (no corrections) = -0.3647 Ry/atom
formation enthalpy at 0 K = 0.090 eV/atom

Lattice parameters (Å, degrees): 3.5540 3.5540 26.1663 90.00 90.00 120.00
With the nearest neighbours (Å) after each atom.
Positions (direct):
Nd: 0.0000 0.0000 0.5494  9 Nd 3.55-3.75, 3 Ho 3.56
Nd: 0.6667 0.3333 0.4294  9 Nd 3.55-3.75, 3 Ho 3.60
Nd: 0.6667 0.3333 0.2068  1 Sc 3.30, 3 Ho 3.53, 6 Nd 3.55
Nd: 0.0000 0.0000 0.7741  3 Sc 3.44, 6 Nd 3.55, 3 Ho 3.61
Ho: 0.0000 0.0000 0.9805  6 Sc 3.33-3.35, 6 Ho 3.55
Ho: 0.0000 0.0000 0.3164  6 Nd 3.53-3.60, 6 Ho 3.55
Ho: 0.6667 0.3333 0.6605  6 Ho 3.55, 6 Nd 3.56-3.61
Sc: 0.6667 0.3333 0.0806  1 Nd 3.30, 3 Ho 3.33, 6 Sc 3.55
Sc: 0.6667 0.3333 0.8795  3 Ho 3.35, 3 Nd 3.44, 6 Sc 3.55


# 8
Entry from Alexandria via LeMat-Bulk: crystalline Y3WS at its relaxed geometry (PBE-GGA).

polymorph energy (0 for the lowest one) = 0 meV/atom
density of states at the Fermi level = 1.0989 states/eV per atom
volume = 132.7 Å³/f.u.
SG = Pm-3m (221)
total DFT energy (no corrections) = -0.5354 Ry/atom
energy relative to the elements, uncorrected = 0.010 eV per atom

Lattice parameters (Å, degrees): 5.1012 5.1012 5.1012 90.00 90.00 90.00
With the nearest neighbours (Å) after each atom.
Positions (direct):
Y: 0.0000 0.5000 0.0000  2 S 2.55
Y: 0.0000 0.0000 0.5000  2 S 2.55
Y: 0.5000 0.0000 0.0000  2 S 2.55
S: 0.0000 0.0000 0.0000  6 Y 2.55
W: 0.5000 0.5000 0.5000  12 Y 3.61


# 9
Entry from Alexandria via LeMat-Bulk: crystalline Li3Pa3AsN8 at its relaxed geometry (PBE-GGA).

density of states at the Fermi level = 0.4458 states/eV per atom
volume = 203.9 Å³/f.u.
SG = C2/m (12)
total DFT energy (no corrections) = -0.5668 Ry/atom
energy relative to the elements, uncorrected = -0.680 eV per atom

Lattice parameters (Å, degrees): 7.0472 6.8057 6.5286 123.71 90.01 121.17
With the nearest neighbours (Å) after each atom.
Positions (direct):
Li: 0.0000 0.0000 0.0000  6 N 2.28-2.49
Li: 0.0000 0.5000 0.0000  6 N 2.30-2.56
Li: 0.5000 0.5000 0.0000  6 N 2.30-2.56
Pa: 0.5000 0.0000 0.5000  6 N 2.21-2.33
Pa: 0.5000 0.5000 0.5000  4 N 2.18-2.26
Pa: 0.0000 0.5000 0.5000  4 N 2.18-2.25
As: 0.0000 0.0000 0.5000  2 N 1.89
N: 0.2567 0.5134 0.2923  3 Pa 2.21-2.26, 1 Li 2.28
N: 0.7433 0.4866 0.7077  3 Pa 2.21-2.26, 1 Li 2.28
N: 0.7877 0.5756 0.2791  1 As 1.89
N: 0.2123 0.4244 0.7209  1 As 1.89
N: 0.7676 0.0179 0.2893  2 Pa 2.18-2.33, 1 As 2.23, 1 Li 2.30
N: 0.2324 0.9821 0.7107  2 Pa 2.18-2.33, 1 As 2.23, 1 Li 2.30
N: 0.2506 0.0179 0.2891  2 Pa 2.18-2.33, 1 As 2.23, 1 Li 2.30
N: 0.7494 0.9821 0.7109  2 Pa 2.18-2.33, 1 As 2.23, 1 Li 2.30


# 10
Entry from Alexandria via LeMat-Bulk: crystalline Ac4Pa6S19 at its relaxed geometry (PBE-GGA).

density of states at the Fermi level = 0.6681 states/eV per atom
volume = 736.9 Å³/f.u.
SG = I23 (197)
total DFT energy (no corrections) = -0.5132 Ry/atom
energy relative to the elements, uncorrected = -1.747 eV per atom

Lattice parameters (Å, degrees): 9.8554 9.8554 9.8554 109.47 109.47 109.47
With the nearest neighbours (Å) after each atom.
Positions (direct):
Ac: 0.0000 0.0000 0.6813  10 S 3.14-3.33
Ac: 0.0000 0.6813 0.0000  10 S 3.14-3.33
Ac: 0.3187 0.3187 0.3187  10 S 3.14-3.33
Ac: 0.6813 0.0000 0.0000  10 S 3.14-3.33
Pa: 0.3226 0.5000 0.8226  6 S 2.66-2.71
Pa: 0.6774 0.5000 0.1774  6 S 2.66-2.71
Pa: 0.1774 0.6774 0.5000  6 S 2.66-2.71
Pa: 0.8226 0.3226 0.5000  6 S 2.66-2.71
Pa: 0.5000 0.8226 0.3226  6 S 2.66-2.71
Pa: 0.5000 0.1774 0.6774  6 S 2.66-2.71
S: 0.6542 0.0000 0.6542  2 Pa 2.67
S: 0.3458 0.0000 0.3458  2 Pa 2.67
S: 0.3458 0.3458 0.0000  2 Pa 2.67
S: 0.6542 0.6542 0.0000  2 Pa 2.67
S: 0.0000 0.6542 0.6542  2 Pa 2.67
S: 0.0000 0.3458 0.3458  2 Pa 2.67
S: 0.0000 0.0000 0.0000  4 Ac 3.14
S: 0.2296 0.2133 0.5712  2 Pa 2.66-2.71
S: 0.7704 0.3416 0.9836  2 Pa 2.66-2.71
S: 0.6420 0.6584 0.4288  2 Pa 2.66-2.71
S: 0.9836 0.7704 0.3416  2 Pa 2.66-2.71
S: 0.3580 0.7867 0.0164  2 Pa 2.66-2.71
S: 0.5712 0.2296 0.2133  2 Pa 2.66-2.71
S: 0.0164 0.3580 0.7867  2 Pa 2.66-2.71
S: 0.4288 0.6420 0.6584  2 Pa 2.66-2.71
S: 0.7867 0.0164 0.3580  2 Pa 2.66-2.71
S: 0.3416 0.9836 0.7704  2 Pa 2.66-2.71
S: 0.2133 0.5712 0.2296  2 Pa 2.66-2.71
S: 0.6584 0.4288 0.6420  2 Pa 2.66-2.71


# 11
Entry from Alexandria via LeMat-Bulk: crystalline Tb2TmTh5 at its relaxed geometry (PBE-GGA).

polymorph energy (0 for the lowest one) = 0 meV/atom
density of states at the Fermi level = 1.5668 states/eV per atom
volume = 256.0 Å³/f.u.
SG = Pbam (55)
total DFT energy (no corrections) = -0.4629 Ry/atom
formation enthalpy at 0 K = 0.056 eV/atom

Lattice parameters (Å, degrees): 5.0226 7.1304 14.2993 90.00 90.00 90.00
With the nearest neighbours (Å) after each atom.
Positions (direct):
Tb: 0.5000 0.2482 0.6246  10 Th 3.54-3.60, 2 Tm 3.55
Tb: 0.5000 0.7518 0.3754  10 Th 3.54-3.60, 2 Tm 3.55
Tb: 0.5000 0.2518 0.1246  10 Th 3.54-3.60, 2 Tm 3.55
Tb: 0.5000 0.7482 0.8754  10 Th 3.54-3.60, 2 Tm 3.55
Tm: 0.0000 0.0000 0.5000  4 Tb 3.55, 8 Th 3.57-3.59
Tm: 0.0000 0.5000 0.0000  4 Tb 3.55, 8 Th 3.57-3.59
Th: 0.0000 0.0000 0.0000  6 Th 3.56-3.58, 4 Tb 3.56, 2 Tm 3.57
Th: 0.0000 0.5000 0.5000  6 Th 3.56-3.58, 4 Tb 3.56, 2 Tm 3.57
Th: 0.0000 0.4980 0.7502  7 Th 3.54-3.58, 4 Tb 3.56, 1 Tm 3.57
Th: 0.0000 0.5020 0.2498  7 Th 3.54-3.58, 4 Tb 3.56, 1 Tm 3.57
Th: 0.0000 0.0020 0.2502  7 Th 3.54-3.58, 4 Tb 3.56, 1 Tm 3.57
Th: 0.0000 0.9980 0.7498  7 Th 3.54-3.58, 4 Tb 3.56, 1 Tm 3.57
Th: 0.5000 0.2453 0.8730  6 Th 3.54-3.56, 4 Tb 3.54-3.60, 2 Tm 3.59
Th: 0.5000 0.7547 0.1270  6 Th 3.54-3.56, 4 Tb 3.54-3.60, 2 Tm 3.59
Th: 0.5000 0.2547 0.3730  6 Th 3.54-3.56, 4 Tb 3.54-3.60, 2 Tm 3.59
Th: 0.5000 0.7453 0.6270  6 Th 3.54-3.56, 4 Tb 3.54-3.60, 2 Tm 3.59


# 12
Entry from Alexandria via LeMat-Bulk: crystalline LaRuSe at its relaxed geometry (PBE-GGA).

polymorph energy (0 for the lowest one) = 242 meV/atom
density of states at the Fermi level = 1.4338 states/eV per atom
volume = 68.8 Å³/f.u.
SG = F-43m (216)
total DFT energy (no corrections) = -0.4774 Ry/atom
energy relative to the elements, uncorrected = -0.599 eV per atom

Lattice parameters (Å, degrees): 4.5996 4.5996 4.5996 60.00 60.00 60.00
With the nearest neighbours (Å) after each atom.
Positions (direct):
La: 0.5000 0.5000 0.5000  4 Ru 2.82
Ru: 0.7500 0.7500 0.7500  4 La 2.82, 4 Se 2.82
Se: 0.0000 0.0000 0.0000  4 Ru 2.82